VASP calculation (PBE) on an optimized crystal structure of SnPdSe3.

```
SnPdSe3
1.0
-1.266 0.974 3.536
4.888 -3.611 2.743
5.725 7.654 -0.058
Se Pd Sn
6 2 2
Cartesian
0.777 -0.402 1.453
6.452 3.155 2.505
2.895 1.862 3.716
6.107 -0.702 3.443
8.570 5.419 4.768
3.240 5.719 2.778
0.443 1.752 2.869
8.905 3.266 3.352
3.629 -0.406 2.475
5.719 5.423 3.746
```

Results
energy relative to the elements, uncorrected = -1.59 eV per formula unit
volume = 247.3 Å³/cell
M_tot = 0.0 μB/f.u.